1.
Below is a relaxed structure of KOsCl3, with properties calculated at the GGA-PBE level.

a b c (Å): 4.914 4.914 4.914
angles (deg): 90.00 90.00 90.00
Positions (direct):
1 K 0.000 0.000 0.000
2 Os 0.500 0.500 0.500
3 Cl 0.000 0.500 0.500
4 Cl 0.500 0.000 0.500
5 Cl 0.500 0.500 0.000

Properties
* relative energy among the computed polymorphs: 0.0 meV per atom
* crystal system: cubic
* raw total energy: -4.042 eV/atom
* E_form (uncorrected): -2.34 eV/f.u.



2.
Below is a relaxed structure of Ca2ScV4, with properties calculated at the GGA-PBE level.

a b c (Å): 8.729 8.729 8.729
angles (deg): 148.92 148.92 44.53
Positions (direct):
1 Ca 0.136 0.136 0.000
2 Ca 0.864 0.864 0.000
3 Sc 0.500 0.500 0.000
4 V 0.000 0.500 0.500
5 V 0.338 0.338 0.000
6 V 0.500 0.000 0.500
7 V 0.662 0.662 0.000

Properties
* ΔE_f: 1.2785 eV/atom
* crystal system: tetragonal
* raw total energy: -5.408 eV/atom